This record from Alexandria describes an optimized crystal structure of ScMo2Br. The functional is GGA-PBE.

Output
Space-group type   No. 122
Fermi-level density of states   3.5 states/eV/f.u.
Formation energy from raw total energies   0.822 eV/atom
Energy above the most stable polymorph in this dataset   3.58 eV/f.u.
Total DFT energy (no corrections)   -26.38 eV/f.u.
Size of the total moment   0.0 μB/cell

POSCAR file:
```
ScMo2Br
1.0
-1.2044 -3.6612 6.9053
-0.1765 -6.9723 -3.7275
1.7779 -5.5448 1.8985
Sc Mo Br
2 4 2
Direct
0.5000 0.5000 0.0000
0.2500 0.7500 0.5000
0.6938 0.1250 0.2500
0.0562 0.6250 0.2500
0.3750 0.3062 0.7500
0.8750 0.9438 0.7500
0.0000 0.0000 0.0000
0.7500 0.2500 0.5000
```

This record from Alexandria describes an optimized crystal structure of CsZrZnS4. The functional is GGA-PBE.

Output
Space-group type   No. 11
Fermi-level density of states   1.5 states/eV/f.u.
Formation energy from raw total energies   -1.035 eV/atom
Total DFT energy (no corrections)   -34.43 eV/f.u.
Size of the total moment   0.0 μB/cell

POSCAR file:
```
CsZrZnS4
1.0
-1.2823 -6.5032 0.3779
0.4766 0.2292 5.5615
-8.6374 4.5672 0.5519
Cs Zr Zn S
2 2 2 8
Direct
0.7632 0.7500 0.9564
0.2368 0.2500 0.0436
0.7400 0.7500 0.4467
0.2600 0.2500 0.5533
0.2630 0.7500 0.3352
0.7370 0.2500 0.6648
0.0137 0.5179 0.6734
0.9863 0.0179 0.3266
0.9863 0.4821 0.3266
0.0137 0.9821 0.6734
0.4809 0.7500 0.1968
0.5191 0.2500 0.8032
0.4433 0.7500 0.5760
0.5567 0.2500 0.4240
```

This record from Alexandria describes an optimized crystal structure of TiNbO5. The functional is GGA-PBE.

Output
Space-group type   No. 14
Fermi-level density of states   1.1 states/eV/f.u.
Formation energy from raw total energies   -2.361 eV/atom
Total DFT energy (no corrections)   -59.28 eV/f.u.
Size of the total moment   4.0 μB/cell

POSCAR file:
```
TiNbO5
1.0
5.1470 -0.0893 0.0000
-2.5299 7.0480 0.0000
0.0000 0.0000 9.8025
Ti Nb O
4 4 20
Direct
0.6846 0.2079 0.0229
0.8154 0.2921 0.5229
0.3154 0.7921 0.9771
0.1846 0.7079 0.4771
0.3030 0.3918 0.7625
0.1970 0.1082 0.2625
0.6970 0.6082 0.2375
0.8030 0.8918 0.7375
0.9851 0.3864 0.9155
0.5149 0.1136 0.4155
0.0149 0.6136 0.0845
0.4851 0.8864 0.5845
0.1470 0.5096 0.5990
0.3530 0.9904 0.0990
0.8530 0.4904 0.4010
0.6470 0.0096 0.9010
0.0541 0.1925 0.4175
0.4459 0.3075 0.9175
0.9459 0.8075 0.5825
0.5541 0.6925 0.0825
0.9387 0.1556 0.1475
0.5613 0.3444 0.6475
0.0613 0.8444 0.8525
0.4387 0.6556 0.3525
0.9702 0.1713 0.6915
0.5298 0.3287 0.1915
0.0298 0.8287 0.3085
0.4702 0.6713 0.8085
```